# 1
Computed, not measured: crystalline HgTe3 at its relaxed geometry at the GGA-PBE level of DFT.

abc: 5.9294 5.9294 5.9294
angles: 138.13 102.65 92.08
Last column: nearest neighbours and their distance in Å.
Positions (direct):
Hg1 0.9730 0.0000 0.9730  6 Te 3.04-3.28
Te1 0.4786 0.5000 0.9786  2 Te 2.87
Te2 0.4234 0.7325 0.6908  1 Te 2.87, 1 Hg 3.04
Te3 0.9583 0.2675 0.6908  1 Te 2.87, 1 Hg 3.04

Values from the calculation:
The value obtained for the volume is 129.2 Å³ per cell. The value obtained for the density of states at the Fermi level is 1.99 states/eV per cell. The calculation puts the formation energy without anion corrections at 0.09 eV/atom. As for the space-group type: No. 44.

***

# 2
Computed, not measured: crystalline Nd4SnPSe2 at its relaxed geometry at the GGA-PBE level of DFT.

abc: 4.2954 7.4582 7.4717
angles: 70.61 90.00 90.00
Last column: nearest neighbours and their distance in Å.
Positions (direct):
Se1 0.5000 0.0000 0.5000  6 Nd 3.01-3.03
Se2 0.0000 0.0000 0.0000  6 Nd 3.12
Nd1 0.5000 0.7389 0.2639  2 P 2.97, 3 Se 3.03-3.12, 1 Sn 3.07
Nd2 0.5000 0.2611 0.7361  2 P 2.97, 3 Se 3.03-3.12, 1 Sn 3.07
Nd3 0.0000 0.7492 0.7394  1 P 2.98, 3 Se 3.01-3.12, 2 Sn 3.07
Nd4 0.0000 0.2508 0.2606  1 P 2.98, 3 Se 3.01-3.12, 2 Sn 3.07
Sn1 0.5000 0.5000 0.0000  6 Nd 3.07
P1 0.0000 0.5000 0.5000  6 Nd 2.97-2.98

Values from the calculation:
The value obtained for the volume is 225.8 Å³ per cell. The value obtained for the density of states at the Fermi level is 1.84 states/eV per cell. The calculation puts the formation energy without anion corrections at -1.50 eV/atom. As for the space-group type: No. 10.

***

# 3
Computed, not measured: crystalline Fe6Ni12Ir at its relaxed geometry at the GGA-PBE level of DFT.

abc: 6.1036 6.1036 6.1036
angles: 89.87 89.87 89.87
Last column: nearest neighbours and their distance in Å.
Positions (direct):
Ni1 0.1616 0.3763 0.0328  4 Fe 2.43-2.60, 5 Ni 2.48-2.65, 1 Ir 2.51
Ni2 0.2000 0.4761 0.5688  4 Fe 2.38-2.50, 5 Ni 2.45-2.65
Ni3 0.6237 0.9672 0.8384  4 Fe 2.43-2.60, 5 Ni 2.48-2.65, 1 Ir 2.51
Ni4 0.5688 0.2000 0.4761  4 Fe 2.38-2.50, 5 Ni 2.45-2.65
Ni5 0.3763 0.0328 0.1616  4 Fe 2.43-2.60, 5 Ni 2.48-2.65, 1 Ir 2.51
Ni6 0.4312 0.8000 0.5239  4 Fe 2.38-2.50, 5 Ni 2.45-2.65
Ni7 0.8000 0.5239 0.4312  4 Fe 2.38-2.50, 5 Ni 2.45-2.65
Ni8 0.0328 0.1616 0.3763  4 Fe 2.43-2.60, 5 Ni 2.48-2.65, 1 Ir 2.51
Ni9 0.5239 0.4312 0.8000  4 Fe 2.38-2.50, 5 Ni 2.45-2.65
Ni10 0.8384 0.6237 0.9672  4 Fe 2.43-2.60, 5 Ni 2.48-2.65, 1 Ir 2.51
Ni11 0.4761 0.5688 0.2000  4 Fe 2.38-2.50, 5 Ni 2.45-2.65
Ni12 0.9672 0.8384 0.6237  4 Fe 2.43-2.60, 5 Ni 2.48-2.65, 1 Ir 2.51
Ir1 0.0000 0.0000 0.0000  6 Fe 2.50, 6 Ni 2.51
Fe1 0.2742 0.1171 0.7196  8 Ni 2.38-2.60, 1 Ir 2.50, 2 Fe 2.59
Fe2 0.7258 0.8829 0.2804  8 Ni 2.38-2.60, 1 Ir 2.50, 2 Fe 2.59
Fe3 0.7196 0.2742 0.1171  8 Ni 2.38-2.60, 1 Ir 2.50, 2 Fe 2.59
Fe4 0.8829 0.2804 0.7258  8 Ni 2.38-2.60, 1 Ir 2.50, 2 Fe 2.59
Fe5 0.1171 0.7196 0.2742  8 Ni 2.38-2.60, 1 Ir 2.50, 2 Fe 2.59
Fe6 0.2804 0.7258 0.8829  8 Ni 2.38-2.60, 1 Ir 2.50, 2 Fe 2.59

Values from the calculation:
Its energy of formation from the pure elements is 0.084 eV/atom. The value obtained for the volume is 227.4 Å³ per cell. The value obtained for the density of states at the Fermi level is 17.78 states/eV per cell. As for the space-group type: No. 148.